Computed, not measured: a relaxed ReIrW2 crystal at the PBE level of DFT.

Computed properties:
Spin magnetization, μB/atom: 0.000
E_form, eV/atom: 0.138
Space group: R3m (160)

a = 9.4771 Å, b = 9.4771 Å, c = 9.4771 Å
α = 16.84°, β = 16.84°, γ = 16.84°
Sites, in units of the cell vectors:
W (0.2462, 0.2462, 0.2462)
W (0.0014, 0.0014, 0.0014)
Ir (0.4997, 0.4997, 0.4997)
Re (0.7527, 0.7527, 0.7527)

***

Computed, not measured: a relaxed La2Nd3Ni2 crystal at the PBE level of DFT.

Computed properties:
Spin magnetization, μB/atom: 0.000
E_form, eV/atom: -0.184
Space group: C2/m (12)

a = 3.7950 Å, b = 6.4066 Å, c = 9.2636 Å
α = 111.00°, β = 90.00°, γ = 107.23°
Sites, in units of the cell vectors:
Ni (0.8379, 0.6758, 0.7802)
Ni (0.1621, 0.3242, 0.2198)
La (0.1696, 0.3392, 0.8030)
La (0.8304, 0.6608, 0.1970)
Nd (0.3830, 0.7660, 0.5778)
Nd (0.6170, 0.2340, 0.4222)
Nd (0.5000, 0.0000, 0.0000)

***

Computed, not measured: a relaxed Hf2MoS crystal at the PBE level of DFT.

Computed properties:
Spin magnetization, μB/atom: 0.000
Formation energy from raw total energies, eV per atom: 0.5701
Space group: I-42d (122)

a = 5.7156 Å, b = 5.7156 Å, c = 7.4170 Å
α = 67.34°, β = 67.34°, γ = 90.00°
Sites, in units of the cell vectors:
Hf (0.3750, 0.3773, 0.7500)
Hf (0.6227, 0.1250, 0.2500)
Hf (0.8750, 0.8727, 0.7500)
Hf (0.1273, 0.6250, 0.2500)
Mo (0.0000, 0.0000, 0.0000)
Mo (0.7500, 0.2500, 0.5000)
S (0.2500, 0.7500, 0.5000)
S (0.5000, 0.5000, 0.0000)

***

Computed, not measured: a relaxed K5NaIn4 crystal at the PBE level of DFT.

Computed properties:
Spin magnetization, μB/atom: 0.000
E_form, eV/atom: -0.052
Space group: C2/m (12)

a = 5.0664 Å, b = 9.4766 Å, c = 11.6606 Å
α = 116.81°, β = 102.55°, γ = 90.00°
Sites, in units of the cell vectors:
K (0.8569, 0.7259, 0.7139)
K (0.1431, 0.2741, 0.2861)
K (0.5000, 0.5000, 0.0000)
K (0.7988, 0.2090, 0.5977)
K (0.2012, 0.7910, 0.4023)
In (0.0497, 0.8459, 0.0995)
In (0.9503, 0.1541, 0.9005)
In (0.6209, 0.9274, 0.2419)
In (0.3791, 0.0726, 0.7581)
Na (0.5000, 0.0000, 0.0000)

***

Computed, not measured: a relaxed PuGaSe3 crystal at the PBE level of DFT.

Computed properties:
Spin magnetization, μB/atom: 1.000
Formation energy from raw total energies, eV per atom: -0.8945
Space group: P2_1/c (14)

a = 7.0217 Å, b = 7.3814 Å, c = 10.0111 Å
α = 90.00°, β = 96.70°, γ = 90.00°
Sites, in units of the cell vectors:
Se (0.6507, 0.7914, 0.0675)
Se (0.3498, 0.1740, 0.5926)
Se (0.1561, 0.9455, 0.1990)
Se (0.1502, 0.6740, 0.9074)
Se (0.3439, 0.4455, 0.3010)
Se (0.6561, 0.5545, 0.6990)
Se (0.8493, 0.2914, 0.4325)
Se (0.1507, 0.7086, 0.5675)
Se (0.8498, 0.3260, 0.0926)
Se (0.3493, 0.2086, 0.9325)
Se (0.6502, 0.8260, 0.4074)
Se (0.8439, 0.0545, 0.8010)
Pu (0.0543, 0.3758, 0.7118)
Pu (0.9457, 0.6242, 0.2882)
Pu (0.5543, 0.1242, 0.2118)
Pu (0.4457, 0.8758, 0.7882)
Ga (0.8509, 0.8391, 0.6160)
Ga (0.6491, 0.3391, 0.8840)
Ga (0.1491, 0.1609, 0.3840)
Ga (0.3509, 0.6609, 0.1160)

***

Computed, not measured: a relaxed Sm6ScPb10 crystal at the PBE level of DFT.

Computed properties:
Spin magnetization, μB/atom: 0.000
E_form, eV/atom: -0.391
Space group: P-31m (162)

a = 6.5226 Å, b = 9.4436 Å, c = 9.4436 Å
α = 120.00°, β = 90.00°, γ = 90.00°
Sites, in units of the cell vectors:
Sm (0.7408, 0.3910, 0.3910)
Sm (0.2592, 0.6090, 0.6090)
Sm (0.7408, 0.0000, 0.6090)
Sm (0.2592, 0.0000, 0.3910)
Sm (0.2592, 0.3910, 0.0000)
Sm (0.7408, 0.6090, 0.0000)
Pb (0.0000, 0.6667, 0.3333)
Pb (0.5000, 0.6667, 0.3333)
Pb (0.5000, 0.3333, 0.6667)
Pb (0.2094, 0.0000, 0.7519)
Pb (0.2094, 0.2481, 0.2481)
Pb (0.7906, 0.2481, 0.0000)
Pb (0.0000, 0.3333, 0.6667)
Pb (0.7906, 0.0000, 0.2481)
Pb (0.7906, 0.7519, 0.7519)
Pb (0.2094, 0.7519, 0.0000)
Sc (0.5000, 0.0000, 0.0000)

***

Computed, not measured: a relaxed TcMo2Os crystal at the PBE level of DFT.

Computed properties:
Spin magnetization, μB/atom: 0.000
E_form, eV/atom: 0.215
Space group: P4/mmm (123)
Energy above the most stable polymorph in this dataset, meV/atom: 109.0

a = 4.4865 Å, b = 4.4865 Å, c = 3.0348 Å
α = 90.00°, β = 90.00°, γ = 90.00°
Sites, in units of the cell vectors:
Mo (0.5000, 0.5000, 0.0000)
Mo (0.0000, 0.0000, 0.0000)
Os (0.5000, 0.0000, 0.5000)
Tc (0.0000, 0.5000, 0.5000)

***

Computed, not measured: a relaxed Ti5AlGa8 crystal at the PBE level of DFT.

Computed properties:
Spin magnetization, μB/atom: 0.000
E_form, eV/atom: -0.192
Space group: I-4 (82)

a = 6.7596 Å, b = 6.7596 Å, c = 6.7596 Å
α = 108.01°, β = 112.44°, γ = 108.01°
Sites, in units of the cell vectors:
Ga (0.6641, 0.9075, 0.8827)
Ga (0.6274, 0.4260, 0.8099)
Ga (0.1173, 0.7814, 0.0247)
Ga (0.7986, 0.1825, 0.3726)
Ga (0.9753, 0.0925, 0.7566)
Ga (0.2434, 0.2186, 0.3359)
Ga (0.1901, 0.8175, 0.6161)
Ga (0.3839, 0.5740, 0.2014)
Ti (0.4652, 0.2123, 0.0415)
Ti (0.7470, 0.5762, 0.5348)
Ti (0.8292, 0.7877, 0.2530)
Ti (0.9585, 0.4238, 0.1708)
Ti (0.5000, 0.0000, 0.5000)
Al (0.2500, 0.5000, 0.7500)

***

Computed, not measured: a relaxed LaOs2Rh crystal at the PBE level of DFT.

Computed properties:
Spin magnetization, μB/atom: 0.000
E_form, eV/atom: 0.754
Space group: Fm-3m (225)
Energy above the most stable polymorph in this dataset, meV/atom: 576.5

a = 4.6566 Å, b = 4.6566 Å, c = 4.6566 Å
α = 60.00°, β = 60.00°, γ = 60.00°
Sites, in units of the cell vectors:
La (0.5000, 0.5000, 0.5000)
Rh (0.0000, 0.0000, 0.0000)
Os (0.7500, 0.7500, 0.7500)
Os (0.2500, 0.2500, 0.2500)